No. 1
A relaxed Li2ZnAg9 crystal. Source: Alexandria, functional PBE-GGA.

abc: 4.076 4.076 12.329
angles: 90.00 90.00 90.00
Element x y z (fractional)
Ag: 0.000 0.500 0.833
Ag: 0.500 0.000 0.500
Ag: 0.500 0.500 0.000
Ag: 0.500 0.000 0.167
Ag: 0.000 0.500 0.500
Ag: 0.500 0.000 0.833
Ag: 0.000 0.500 0.167
Ag: 0.500 0.500 0.666
Li: 0.000 0.000 0.665
Ag: 0.500 0.500 0.334
Li: 0.000 0.000 0.335
Zn: 0.000 0.000 0.000

Output
Spin magnetization = 0.00 μB/f.u.
N(E_F) = 3.111 states/eV/cell
Energy = -31.84 eV per cell
Formation energy from the elements = -1.08 eV/f.u.
V = 205 Å³ per cell
Space group = P4/mmm (123)

No. 2
A relaxed KReH2Br8 crystal. Source: Alexandria, functional PBE-GGA.

abc: 6.867 7.141 9.188
angles: 105.81 82.93 103.66
Each line ends with the local moment (μB).
Element x y z (fractional)
Br: 0.897 0.219 0.867  0.03
Br: 0.648 0.801 0.000  0.01
Br: 0.082 0.770 0.752  0.05
Br: 0.103 0.781 0.133  0.03
H: 0.586 0.743 0.234  0.00
K: 0.000 0.000 0.500  0.00
Re: 0.000 0.000 0.000  1.51
H: 0.414 0.257 0.766  0.00
Br: 0.352 0.199 0.000  0.01
Br: 0.460 0.293 0.614  0.01
Br: 0.540 0.707 0.386  0.01
Br: 0.918 0.230 0.248  0.05

Output
Spin magnetization = 2.00 μB/f.u.
N(E_F) = 8.181 states/eV/cell
Energy = -39.56 eV per cell
V = 420 Å³ per cell
Space group = P-1 (2)

No. 3
A relaxed Y2CoPt crystal. Source: Alexandria, functional PBE-GGA.

abc: 7.203 7.203 7.203
angles: 33.04 33.04 33.04
Element x y z (fractional)
Co: 0.458 0.458 0.458
Pt: 0.792 0.792 0.792
Y: 0.215 0.215 0.215
Y: 0.035 0.035 0.035

Output
Spin magnetization = 0.00 μB/f.u.
N(E_F) = 3.611 states/eV/cell
Energy = -28.12 eV per cell
Formation energy from the elements = -2.04 eV/f.u.
V = 99 Å³ per cell
Space group = R3m (160)

No. 4
A relaxed CeMg2Ag crystal. Source: Alexandria, functional PBE-GGA.

abc: 5.105 5.105 5.103
angles: 89.85 120.09 120.11
Each line ends with the local moment (μB).
Element x y z (fractional)
Mg: 0.125 0.813 0.938  0.00
Mg: 0.625 0.063 0.688  0.00
Ce: 0.125 0.312 0.438  0.74
Ag: 0.625 0.562 0.187  0.00

Output
Spin magnetization = 0.77 μB/f.u.
N(E_F) = 7.088 states/eV/cell
Energy = -12.34 eV per cell
Formation energy from the elements = -0.37 eV/f.u.
V = 94 Å³ per cell
Space group = I-4m2 (119)

No. 5
A relaxed HfNi2MoH crystal. Source: Alexandria, functional PBE-GGA.

abc: 3.875 3.875 3.984
angles: 90.00 90.00 90.00
Element x y z (fractional)
Hf: 0.500 0.500 0.500
Ni: 0.500 0.000 0.000
H: 0.000 0.000 0.000
Ni: 0.000 0.500 0.000
Mo: 0.000 0.000 0.500

Output
Spin magnetization = 0.00 μB/f.u.
N(E_F) = 4.653 states/eV/cell
Energy = -36.35 eV per cell
V = 60 Å³ per cell
Space group = P4/mmm (123)

No. 6
A relaxed BaSrLi2Hg2 crystal. Source: Alexandria, functional PBE-GGA.

abc: 5.032 5.032 8.510
angles: 90.00 90.00 120.00
Element x y z (fractional)
Li: 0.333 0.667 0.721
Li: 0.667 0.333 0.279
Ba: 0.000 0.000 0.000
Hg: 0.667 0.333 0.725
Hg: 0.333 0.667 0.275
Sr: 0.000 0.000 0.500

Output
Spin magnetization = 0.00 μB/f.u.
N(E_F) = 5.051 states/eV/cell
Energy = -10.08 eV per cell
Formation energy from the elements = -2.05 eV/f.u.
V = 187 Å³ per cell
Space group = P-3m1 (164)

In order of appearance, calculated density = 8.51 3.42 7.25 5.24 10.91 5.70 Mg/m³.